w | Material: Ce2YGe
Method: DFT, GGA-PBE
State: relaxed

Cell: 4.3806 4.3806 5.0998 Å, 90.00 90.00 90.00°
Space group P4/mmm (No. 123)
Inequivalent atoms, fractional coordinates:
Ce: 0.0000 0.5000 0.0000 x2
Y: 0.0000 0.0000 0.5000 x1
Ge: 0.5000 0.5000 0.5000 x1

---

x | Material: Ce2YGe
Method: DFT, GGA-PBE
State: relaxed

Cell: 3.7964 3.7964 28.9082 Å, 90.00 90.00 120.00°
Space group R-3m (No. 166, hexagonal axes)
Inequivalent atoms, fractional coordinates:
Ce: 0.0000 0.0000 0.2334 x6
Y: 0.0000 0.0000 0.0000 x3
Ge: 0.0000 0.0000 0.5000 x3

---

Which structure loses on stability? x does.

---

w | Material: Ce2Zn3Ge2
Method: DFT, GGA-PBE
State: relaxed

Cell: 3.8507 19.9891 4.0765 Å, 90.00 90.00 90.00°
Space group Cmmm (No. 65)
Inequivalent atoms, fractional coordinates:
Ce: 0.0000 0.1604 0.0000 x4
Zn: 0.0000 0.0000 0.0000 x2
Zn: 0.0000 0.4364 0.5000 x4
Ge: 0.0000 0.2907 0.5000 x4

---

x | Material: Ce2Zn3Ge2
Method: DFT, GGA-PBE
State: relaxed

Cell: 10.3160 4.4208 6.5434 Å, 90.00 109.00 90.00°
Space group C2/m (No. 12)
Inequivalent atoms, fractional coordinates:
Ce: 0.1489 0.0000 0.2708 x4
Zn: 0.0000 0.5000 0.5000 x2
Zn: 0.0932 0.5000 0.9187 x4
Ge: 0.1550 0.0000 0.7564 x4

---

Which structure loses on stability? w does.

---

w | Material: Ce2ZnGe2
Method: DFT, GGA-PBE
State: relaxed

Cell: 10.9238 4.3036 10.6385 Å, 90.00 117.97 90.00°
Space group C2/m (No. 12)
Inequivalent atoms, fractional coordinates:
Ce: 0.0723 0.0000 0.3546 x4
Ce: 0.1995 0.0000 0.0608 x4
Zn: 0.2317 0.0000 0.7133 x4
Ge: 0.0098 0.5000 0.1268 x4
Ge: 0.1272 0.5000 0.5890 x4

---

x | Material: Ce2ZnGe2
Method: DFT, GGA-PBE
State: relaxed

Cell: 10.9320 4.2408 10.6734 Å, 90.00 112.26 90.00°
Space group C2/m (No. 12)
Inequivalent atoms, fractional coordinates:
Ce: 0.0762 0.0000 0.4156 x4
Ce: 0.1907 0.5000 0.1453 x4
Zn: 0.0780 0.5000 0.8124 x4
Ge: 0.0500 0.0000 0.9130 x4
Ge: 0.1676 0.5000 0.6341 x4

---

Which structure loses on stability? w does.